Entry 1:
GGA-PBE ErTlNi, optimized geometry; energy of formation = -223 meV/atom; N(E_F) = 1.335 states/eV per atom; SG = F-43m (216); M_tot = 0.00 μB/cell; total DFT energy (no corrections) = -13.38 eV/cell
1.0
4.5716 0.0000 0.0000
2.2858 3.9591 0.0000
2.2858 1.3197 3.7327
Er Tl Ni
1 1 1
direct
0.5000 0.5000 0.5000
0.0000 0.0000 0.0000
0.2500 0.2500 0.2500



Entry 2:
GGA-PBE PmNd7Y12, optimized geometry; energy of formation = 231 meV/atom; N(E_F) = 1.969 states/eV per atom; SG = R-3 (148); M_tot = 0.00 μB/cell; total DFT energy (no corrections) = -111.08 eV/cell
1.0
8.5523 1.3017 1.9538
-1.1277 8.5770 1.9538
-1.1277 -1.5004 8.6678
Y Pm Nd
12 1 7
direct
0.2565 0.7267 0.8553
0.8643 0.5030 0.3827
0.7435 0.2733 0.1447
0.1357 0.4970 0.6173
0.7267 0.8553 0.2565
0.6173 0.1357 0.4970
0.1447 0.7435 0.2733
0.2733 0.1447 0.7435
0.3827 0.8643 0.5030
0.8553 0.2565 0.7267
0.4970 0.6173 0.1357
0.5030 0.3827 0.8643
0.0000 0.0000 0.0000
0.6032 0.9247 0.8450
0.0753 0.1550 0.3968
0.5000 0.5000 0.5000
0.9247 0.8450 0.6032
0.8450 0.6032 0.9247
0.3968 0.0753 0.1550
0.1550 0.3968 0.0753



Entry 3:
GGA-PBE SrFe2W, optimized geometry; energy of formation = 1314 meV/atom; N(E_F) = 1.144 states/eV per atom; SG = Pmmm (47); M_tot = 4.23 μB/cell; total DFT energy (no corrections) = -26.30 eV/cell
1.0
2.9205 0.0000 0.0000
0.0000 5.2385 0.0000
0.0000 0.0000 4.5984
Sr W Fe
1 1 2
direct
0.5000 0.0000 0.5000
0.0000 0.5000 0.5000
0.5000 0.5000 0.0000
0.0000 0.0000 0.0000



Entry 4:
GGA-PBE Cd2SbOsO8, optimized geometry; N(E_F) = 0.189 states/eV per atom; SG = P2/m (10); M_tot = 0.73 μB/cell; ΔE_f (raw) = -1048 meV/atom; total DFT energy (no corrections) = -69.42 eV/cell
1.0
5.0182 -0.1310 -0.0025
-0.1141 5.0121 -0.0055
0.0034 0.0071 6.3966
O Cd Sb Os
8 2 1 1
direct
0.8274 0.1742 0.7659
0.7340 0.7356 0.0000
0.2660 0.2644 0.0000
0.1726 0.8258 0.2341
0.7192 0.7209 0.5000
0.1726 0.8258 0.7659
0.8274 0.1742 0.2341
0.2808 0.2791 0.5000
0.5000 0.5000 0.7500
0.5000 0.5000 0.2500
0.0000 0.0000 0.5000
0.0000 0.0000 0.0000



Entry 5:
GGA-PBE CsVSe4, optimized geometry; N(E_F) = 0.684 states/eV per atom; SG = C2/m (12); M_tot = 0.00 μB/cell; ΔE_f (raw) = -602 meV/atom; total DFT energy (no corrections) = -55.04 eV/cell
1.0
-2.5477 -4.9804 -0.4560
3.0748 -0.8846 -7.5178
5.2360 -2.8099 6.9120
Se V Cs
8 2 2
direct
0.6098 0.7841 0.1901
0.3902 0.5940 0.8099
0.6098 0.4060 0.1901
0.7139 0.3288 0.6576
0.3902 0.2159 0.8099
0.0000 0.7414 0.0000
0.0000 0.2586 0.0000
0.2861 0.6712 0.3424
0.2784 0.5161 0.0322
0.7216 0.4839 0.9678
0.8088 0.8192 0.6385
0.1912 0.1808 0.3615



Entry 6:
GGA-PBE ReHg2Rh, optimized geometry; energy of formation = 661 meV/atom; N(E_F) = 0.830 states/eV per atom; SG = Cmmm (65); M_tot = 0.00 μB/cell; total DFT energy (no corrections) = -17.76 eV/cell
1.0
1.4732 -2.4700 0.0000
1.4732 2.4700 0.0000
0.0000 0.0000 9.7073
Rh Hg Re
1 2 1
direct
0.5000 0.5000 0.0000
0.0000 0.0000 0.2430
0.0000 0.0000 0.7570
0.5000 0.5000 0.5000



Entry 7:
GGA-PBE BaPtSCl2, optimized geometry; N(E_F) = 0.992 states/eV per atom; SG = P4/mmm (123); M_tot = 2.06 μB/cell; ΔE_f (raw) = 129 meV/atom; total DFT energy (no corrections) = -15.14 eV/cell
1.0
5.8548 0.0000 0.0000
0.0000 5.8548 0.0000
0.0000 0.0000 6.3534
Cl S Ba Pt
2 1 1 1
direct
0.5000 0.0000 0.0000
0.0000 0.5000 0.0000
0.0000 0.0000 0.5000
0.0000 0.0000 0.0000
0.5000 0.5000 0.5000



Entry 8:
GGA-PBE Ta2CuNi, optimized geometry; energy of formation = -8 meV/atom; N(E_F) = 1.038 states/eV per atom; SG = Cmmm (65); M_tot = 0.00 μB/cell; total DFT energy (no corrections) = -33.62 eV/cell
1.0
-3.8839 1.9304 4.4441
0.6504 -4.6270 -0.9169
0.8284 -0.3981 2.5835
Ta Cu Ni
2 1 1
direct
0.0000 0.0000 0.0000
0.5000 0.0000 0.5000
0.0000 0.5000 0.5000
0.5000 0.5000 0.0000



Entry 9:
GGA-PBE Pr3Nd2Dy6, optimized geometry; energy of formation = 252 meV/atom; N(E_F) = 1.400 states/eV per atom; SG = I4/mmm (139); M_tot = 0.00 μB/cell; total DFT energy (no corrections) = -48.72 eV/cell
1.0
-1.3336 4.5924 0.5214
-4.6219 -1.3245 -0.1557
2.9601 -3.5197 16.3829
Pr Nd Dy
3 2 6
direct
0.7956 0.7956 0.5913
0.2044 0.2044 0.4087
0.0000 0.0000 0.0000
0.5462 0.5462 0.0925
0.4538 0.4538 0.9075
0.3797 0.8797 0.7594
0.8797 0.3797 0.7594
0.6203 0.1203 0.2406
0.6919 0.6919 0.3837
0.1203 0.6203 0.2406
0.3081 0.3081 0.6163



Entry 10:
GGA-PBE LaZr3Cu, optimized geometry; energy of formation = 1480 meV/atom; N(E_F) = 2.526 states/eV per atom; SG = Pm-3m (221); M_tot = 0.00 μB/cell; total DFT energy (no corrections) = -27.27 eV/cell
1.0
-1.1463 -2.5935 4.2581
-0.9624 -4.1720 -2.8001
4.8920 -1.4285 0.4469
Cu Zr La
1 3 1
direct
0.5000 0.5000 0.5000
0.0000 0.0000 0.5000
0.5000 0.0000 0.0000
0.0000 0.5000 0.0000
0.0000 0.0000 0.0000



Entry 11:
GGA-PBE MnHgSe2N, optimized geometry; N(E_F) = 0.616 states/eV per atom; SG = P4/mmm (123); M_tot = 1.64 μB/cell; ΔE_f (raw) = 214 meV/atom; total DFT energy (no corrections) = -23.70 eV/cell
1.0
-1.9280 3.9600 -2.6145
-4.5028 -2.4172 -0.3408
-1.0234 1.4833 3.0014
Mn Se Hg N
1 2 1 1
direct
0.0000 0.0000 0.0000
0.0000 0.5000 0.0000
0.5000 0.0000 0.0000
0.5000 0.5000 0.5000
0.0000 0.0000 0.5000



Entry 12:
GGA-PBE NdHoLuAg, optimized geometry; energy of formation = 45 meV/atom; N(E_F) = 0.815 states/eV per atom; SG = F-43m (216); M_tot = 0.00 μB/cell; total DFT energy (no corrections) = -16.54 eV/cell
1.0
5.3936 0.0000 0.0000
2.6968 4.6710 0.0000
2.6968 1.5570 4.4039
Lu Nd Ho Ag
1 1 1 1
direct
0.0000 0.0000 0.0000
0.2500 0.2500 0.2500
0.7500 0.7500 0.7500
0.5000 0.5000 0.5000



Entry 13:
GGA-PBE Pr2GaRh2, optimized geometry; energy of formation = -758 meV/atom; N(E_F) = 0.489 states/eV per atom; SG = C2/c (15); M_tot = 0.00 μB/cell; total DFT energy (no corrections) = -62.16 eV/cell
1.0
-4.2026 3.8174 -1.4634
-5.6962 -1.3452 0.3468
-2.0247 3.0014 6.8891
Ga Pr Rh
2 4 4
direct
0.1360 0.8640 0.2500
0.8640 0.1360 0.7500
0.5014 0.7914 0.8511
0.2086 0.4986 0.6489
0.4986 0.2086 0.1489
0.7914 0.5014 0.3511
0.9983 0.2671 0.9935
0.7329 0.0017 0.5065
0.0017 0.7329 0.0065
0.2671 0.9983 0.4935



Entry 14:
GGA-PBE TiCoN2, optimized geometry; N(E_F) = 0.879 states/eV per atom; SG = I-42d (122); M_tot = 0.00 μB/cell; ΔE_f (raw) = -617 meV/atom; total DFT energy (no corrections) = -68.24 eV/cell
1.0
4.3746 0.0000 0.0000
0.0000 4.3746 0.0000
2.1873 2.1873 4.5618
N Co Ti
4 2 2
direct
0.6391 0.1250 0.2500
0.8750 0.8891 0.7500
0.1109 0.6250 0.2500
0.3750 0.3609 0.7500
0.7500 0.2500 0.5000
0.0000 0.0000 0.0000
0.5000 0.5000 0.0000
0.2500 0.7500 0.5000



Entry 15:
GGA-PBE Rb2CrAgTe4, optimized geometry; N(E_F) = 0.487 states/eV per atom; SG = Fddd (70); M_tot = 1.95 μB/cell; ΔE_f (raw) = -460 meV/atom; total DFT energy (no corrections) = -61.32 eV/cell
1.0
6.5133 0.0000 0.0000
3.2566 7.1077 0.0000
3.2566 0.0000 12.9246
Te Ag Rb Cr
8 2 4 2
direct
0.1717 0.2066 0.8846
0.9437 0.7934 0.8846
0.2629 0.7934 0.1154
0.6217 0.2066 0.1154
0.1283 0.2934 0.3846
0.8063 0.7066 0.6154
0.4871 0.7066 0.3846
0.5783 0.2934 0.6154
0.5000 0.0000 0.0000
0.2500 0.5000 0.5000
0.8178 0.0000 0.3643
0.5678 0.5000 0.8643
0.1822 0.0000 0.6357
0.9322 0.5000 0.1357
0.0000 0.0000 0.0000
0.7500 0.5000 0.5000



Entry 16:
GGA-PBE Rb3HfTa, optimized geometry; energy of formation = 2416 meV/atom; N(E_F) = 2.517 states/eV per atom; SG = Pm-3m (221); M_tot = 8.00 μB/cell; total DFT energy (no corrections) = -12.63 eV/cell
1.0
6.8260 0.0000 0.0000
0.0000 6.8260 0.0000
0.0000 0.0000 6.8260
Rb Hf Ta
3 1 1
direct
0.0000 0.5000 0.0000
0.0000 0.0000 0.5000
0.5000 0.0000 0.0000
0.0000 0.0000 0.0000
0.5000 0.5000 0.5000



Entry 17:
GGA-PBE Ba4NaIn2, optimized geometry; energy of formation = -221 meV/atom; N(E_F) = 1.294 states/eV per atom; SG = R-3m (166); M_tot = 0.00 μB/cell; total DFT energy (no corrections) = -16.03 eV/cell
1.0
5.8362 0.0000 1.8234
2.6333 5.2084 1.8234
-0.0729 -0.0448 10.4852
Ba Na In
4 1 2
direct
0.3811 0.3811 0.8568
0.1291 0.1291 0.6127
0.8709 0.8709 0.3873
0.6189 0.6189 0.1432
0.0000 0.0000 0.0000
0.7461 0.7461 0.7616
0.2539 0.2539 0.2384



Entry 18:
GGA-PBE ZnTcSe2, optimized geometry; N(E_F) = 0.682 states/eV per atom; SG = P4mm (99); M_tot = 0.00 μB/cell; ΔE_f (raw) = -21 meV/atom; total DFT energy (no corrections) = -18.69 eV/cell
1.0
3.2704 0.0000 0.0000
0.0000 3.2704 0.0000
0.0000 0.0000 7.0479
Zn Tc Se
1 1 2
direct
0.5000 0.5000 0.7407
0.0000 0.0000 0.5144
0.5000 0.5000 0.3431
0.0000 0.0000 0.9018



Entry 19:
GGA-PBE Ta2MnIn, optimized geometry; energy of formation = 129 meV/atom; N(E_F) = 0.712 states/eV per atom; SG = Immm (71); M_tot = 0.92 μB/cell; total DFT energy (no corrections) = -35.10 eV/cell
1.0
-0.5602 4.1062 -3.3146
0.8493 1.5753 -4.9959
-3.6125 -0.1953 -2.7345
Mn Ta In
1 2 1
direct
0.2500 0.2500 0.2500
0.5212 0.5212 0.4788
0.9788 0.9788 0.0212
0.7500 0.7500 0.7500



Entry 20:
GGA-PBE CaMgMoIr2, optimized geometry; energy of formation = 2115 meV/atom; N(E_F) = 2.332 states/eV per atom; SG = P4/mmm (123); M_tot = 0.00 μB/cell; total DFT energy (no corrections) = -21.58 eV/cell
1.0
-2.6377 -1.6668 3.5248
3.6725 0.1822 2.8344
-1.1559 4.3986 1.2150
Ir Ca Mo Mg
2 1 1 1
direct
0.0000 0.0000 0.5000
0.5000 0.0000 0.0000
0.0000 0.0000 0.0000
0.5000 0.5000 0.5000
0.0000 0.5000 0.0000



Entry 21:
GGA-PBE Cd2AgAs2Pd5, optimized geometry; energy of formation = -206 meV/atom; N(E_F) = 0.389 states/eV per atom; SG = P4/mbm (127); M_tot = 0.00 μB/cell; total DFT energy (no corrections) = -84.01 eV/cell
1.0
3.3519 0.0000 0.0000
0.0000 10.2728 0.0000
0.0000 0.0000 10.2728
Pd Cd As Ag
10 4 4 2
direct
0.5000 0.5000 0.0000
0.5000 0.0000 0.5000
0.5000 0.2145 0.0220
0.5000 0.4780 0.2855
0.5000 0.2855 0.5220
0.5000 0.7145 0.4780
0.5000 0.9780 0.2145
0.5000 0.0220 0.7855
0.5000 0.7855 0.9780
0.5000 0.5220 0.7145
0.0000 0.3227 0.8227
0.0000 0.6773 0.1773
0.0000 0.8227 0.6773
0.0000 0.1773 0.3227
0.0000 0.8647 0.3647
0.0000 0.1353 0.6353
0.0000 0.6353 0.8647
0.0000 0.3647 0.1353
0.0000 0.5000 0.5000
0.0000 0.0000 0.0000



Entry 22:
GGA-PBE ReOsRh2, optimized geometry; energy of formation = 27 meV/atom; N(E_F) = 1.509 states/eV per atom; SG = R3m (160); M_tot = 0.00 μB/cell; total DFT energy (no corrections) = -38.27 eV/cell
1.0
8.9063 -1.3716 -0.0079
8.9063 1.3716 -0.0079
8.6971 0.0000 2.3586
Rh Re Os
2 1 1
direct
0.7509 0.7509 0.7509
0.9987 0.9987 0.9987
0.2500 0.2500 0.2500
0.5004 0.5004 0.5004



Entry 23:
GGA-PBE GdZnHgAu, optimized geometry; energy of formation = -459 meV/atom; N(E_F) = 0.497 states/eV per atom; SG = F-43m (216); M_tot = 7.10 μB/cell; total DFT energy (no corrections) = -20.77 eV/cell
1.0
4.9445 0.0000 0.0000
2.4722 4.2820 0.0000
2.4722 1.4273 4.0371
Gd Au Hg Zn
1 1 1 1
direct
0.5000 0.5000 0.5000
0.2500 0.2500 0.2500
0.7500 0.7500 0.7500
0.0000 0.0000 0.0000



Entry 24:
GGA-PBE LiLuZnPt, optimized geometry; energy of formation = -677 meV/atom; N(E_F) = 0.895 states/eV per atom; SG = F-43m (216); M_tot = 0.00 μB/cell; total DFT energy (no corrections) = -16.46 eV/cell
1.0
4.6077 0.0000 0.0000
2.3039 3.9904 0.0000
2.3039 1.3301 3.7622
Li Zn Lu Pt
1 1 1 1
direct
0.2500 0.2500 0.2500
0.5000 0.5000 0.5000
0.0000 0.0000 0.0000
0.7500 0.7500 0.7500



Entry 25:
GGA-PBE SiNi2Se, optimized geometry; N(E_F) = 0.924 states/eV per atom; SG = R-3m (166); M_tot = 0.00 μB/cell; ΔE_f (raw) = -68 meV/atom; total DFT energy (no corrections) = -20.74 eV/cell
1.0
-4.1921 5.8859 1.7096
-4.3450 4.3334 4.1813
-2.0641 6.0971 3.7020
Si Ni Se
1 2 1
direct
0.7500 0.7500 0.7500
0.0045 0.0045 0.0045
0.4955 0.4955 0.4955
0.2500 0.2500 0.2500